Computed, not measured: a relaxed MgPa2Ni6 crystal at the PBE level of DFT.

Cell: 3.2522 7.5819 7.5819 Å, 53.17 77.62 77.62°
Positions (direct):
Ni  0.3242  0.3627  0.9888
Ni  0.5000  0.6826  0.3174
Ni  0.5000  0.3174  0.6826
Ni  0.3242  0.9888  0.3627
Ni  0.6758  0.6373  0.0112
Ni  0.6758  0.0112  0.6373
Pa  0.1422  0.3578  0.3578
Pa  0.8578  0.6422  0.6422
Mg  0.0000  0.0000  0.0000

Computed properties:
The value obtained for the density of states at the Fermi level is 0.7445 states/eV per atom. As for the formation enthalpy at 0 K: -0.144 eV per atom. The density is 9.58 g cm⁻³. As for the electronic total energy: -56.6 eV for the cell shown.